No. 1
A plane-wave DFT calculation with PBE was carried out for a relaxed structure of Y2Ge2Rh.

abc: 6.7607 6.7607 4.4318
angles: 90.00 90.00 90.00
Positions (direct):
Y 0.1734 0.3266 0.0000
Y 0.3266 0.8266 0.0000
Y 0.6734 0.1734 0.0000
Y 0.8266 0.6734 0.0000
Ge 0.1366 0.6366 0.5000
Ge 0.3634 0.1366 0.5000
Ge 0.6366 0.8634 0.5000
Ge 0.8634 0.3634 0.5000
Rh 0.0000 0.0000 0.5000
Rh 0.5000 0.5000 0.5000

Values from the calculation:
**Total moment**: 0.00 μB per cell
**Formation energy**: -0.920 eV per atom
**DOS at the Fermi energy**: 3.37 states/eV/f.u.
**Calculated density**: 6.984 g/cm3

No. 2
A plane-wave DFT calculation with PBE was carried out for a relaxed structure of YGeRh.

abc: 5.6243 5.6243 5.6243
angles: 135.04 100.13 96.69
Positions (direct):
Y 0.0000 0.0000 0.0000
Y 0.5866 0.0866 0.5000
Ge 0.0078 0.7075 0.3003
Ge 0.4073 0.7075 0.6997
Rh 0.1730 0.3787 0.7944
Rh 0.5843 0.3787 0.2056

Values from the calculation:
**Total moment**: 0.00 μB per cell
**Formation energy**: -0.933 eV per atom
**DOS at the Fermi energy**: 1.40 states/eV/f.u.
**Calculated density**: 7.565 g/cm3

No. 3
A plane-wave DFT calculation with PBE was carried out for a relaxed structure of Y2Ge5Rh3.

abc: 8.3499 8.3499 5.9013
angles: 108.82 108.82 94.06
Positions (direct):
Y 0.0931 0.3697 0.2372
Y 0.3697 0.0931 0.7372
Y 0.6303 0.9069 0.2628
Y 0.9069 0.6303 0.7628
Ge 0.0130 0.9870 0.7500
Ge 0.2352 0.4259 0.8311
Ge 0.2773 0.7227 0.7500
Ge 0.2921 0.7079 0.2500
Ge 0.4259 0.2352 0.3311
Ge 0.5741 0.7648 0.6689
Ge 0.7079 0.2921 0.7500
Ge 0.7227 0.2773 0.2500
Ge 0.7648 0.5741 0.1689
Ge 0.9870 0.0130 0.2500
Rh 0.0445 0.7614 0.3751
Rh 0.2386 0.9555 0.1249
Rh 0.4977 0.5023 0.2500
Rh 0.5023 0.4977 0.7500
Rh 0.7614 0.0445 0.8751
Rh 0.9555 0.2386 0.6249

Values from the calculation:
**Polymorph energy (0 for the lowest one)**: 0 meV per atom
**Total moment**: 0.00 μB per cell
**Formation energy**: -0.795 eV per atom
**DOS at the Fermi energy**: 4.84 states/eV/f.u.
**Calculated density**: 7.805 g/cm3

No. 4
A plane-wave DFT calculation with PBE was carried out for a relaxed structure of YGeRh.

abc: 4.2966 4.2966 7.4524
angles: 90.00 90.00 120.00
Positions (direct):
Y 0.0000 0.0000 0.0000
Y 0.0000 0.0000 0.5000
Ge 0.3333 0.6667 0.2366
Ge 0.3333 0.6667 0.7634
Rh 0.6667 0.3333 0.2789
Rh 0.6667 0.3333 0.7211

Values from the calculation:
**Total moment**: 0.00 μB per cell
**Formation energy**: -0.899 eV per atom
**DOS at the Fermi energy**: 1.74 states/eV/f.u.
**Calculated density**: 7.371 g/cm3

No. 5
A plane-wave DFT calculation with PBE was carried out for a relaxed structure of Y2GeRh.

abc: 5.7760 4.2096 7.9383
angles: 90.00 110.75 90.00
Positions (direct):
Y 0.1886 0.2500 0.4137
Y 0.2767 0.7500 0.0610
Y 0.7233 0.2500 0.9390
Y 0.8114 0.7500 0.5863
Ge 0.3716 0.7500 0.7047
Ge 0.6284 0.2500 0.2953
Rh 0.1463 0.2500 0.7873
Rh 0.8537 0.7500 0.2127

Values from the calculation:
**Total moment**: 0.00 μB per cell
**Formation energy**: -0.865 eV per atom
**DOS at the Fermi energy**: 3.08 states/eV/f.u.
**Calculated density**: 6.502 g/cm3

No. 6
A plane-wave DFT calculation with PBE was carried out for a relaxed structure of YZnGe2Rh.

abc: 6.1702 6.1702 6.1702
angles: 141.72 141.72 55.25
Positions (direct):
Y 0.0000 0.0000 0.0000
Zn 0.2500 0.7500 0.5000
Ge 0.3869 0.3869 0.0000
Ge 0.6131 0.6131 0.0000
Rh 0.7500 0.2500 0.5000

Values from the calculation:
**Total moment**: 0.00 μB per cell
**Formation energy**: -0.645 eV per atom
**DOS at the Fermi energy**: 1.70 states/eV/f.u.
**Calculated density**: 7.469 g/cm3

No. 7
A plane-wave DFT calculation with PBE was carried out for a relaxed structure of YbGe2Rh2.

abc: 5.9757 5.9757 5.9757
angles: 139.26 139.26 58.98
Positions (direct):
Yb 0.0000 0.0000 0.0000
Ge 0.3760 0.3760 0.0000
Ge 0.6240 0.6240 0.0000
Rh 0.2500 0.7500 0.5000
Rh 0.7500 0.2500 0.5000

Values from the calculation:
**Total moment**: 0.19 μB per cell
**Formation energy**: -0.844 eV per atom
**DOS at the Fermi energy**: 14.76 states/eV/f.u.
**Calculated density**: 9.669 g/cm3

No. 8
A plane-wave DFT calculation with PBE was carried out for a relaxed structure of Zn2Ge2Rh.

abc: 6.4363 6.4363 3.9765
angles: 90.00 90.00 90.00
Positions (direct):
Zn 0.1735 0.3265 0.0000
Zn 0.3265 0.8265 0.0000
Zn 0.6735 0.1735 0.0000
Zn 0.8265 0.6735 0.0000
Ge 0.1389 0.6389 0.5000
Ge 0.3611 0.1389 0.5000
Ge 0.6389 0.8611 0.5000
Ge 0.8611 0.3611 0.5000
Rh 0.0000 0.0000 0.5000
Rh 0.5000 0.5000 0.5000

Values from the calculation:
**Total moment**: 0.00 μB per cell
**Formation energy**: 0.002 eV per atom
**DOS at the Fermi energy**: 2.05 states/eV/f.u.
**Calculated density**: 7.641 g/cm3